The following is a PBE-GGA calculation of a relaxed YMgAl2Au4 crystal, from Alexandria via LeMat-Bulk.

Geometry as CIF:
```
data_YMgAl2Au4
_symmetry_space_group_name_H-M 'R -3 m'
_symmetry_Int_Tables_number 166
_symmetry_space_group_name_Hall '-R 3 2"'
_cell_length_a 4.5053
_cell_length_b 4.5053
_cell_length_c 25.8040
_cell_angle_alpha 90.00
_cell_angle_beta 90.00
_cell_angle_gamma 120.00
loop_
_atom_site_label
_atom_site_fract_x
_atom_site_fract_y
_atom_site_fract_z
Y1 0.0000 0.0000 0.0000
Mg1 0.0000 0.0000 0.5000
Al1 0.0000 0.0000 0.2434
Au1 0.0000 0.0000 0.1293
Au2 0.0000 0.0000 0.3932
```

## Properties
The density is 10.49 g cm⁻³. The value obtained for the magnetization is 0.00 μB/atom. For the total DFT energy (no corrections), the calculation gives -4.1869 eV per atom.

***

The following is a PBE-GGA calculation of a relaxed YMgAl2Au2 crystal, from Alexandria via LeMat-Bulk.

Geometry as CIF:
```
data_YMgAl2Au2
_symmetry_space_group_name_H-M 'P -3 m 1'
_symmetry_Int_Tables_number 164
_symmetry_space_group_name_Hall '-P 3 2"'
_cell_length_a 4.4566
_cell_length_b 4.4566
_cell_length_c 6.8885
_cell_angle_alpha 90.00
_cell_angle_beta 90.00
_cell_angle_gamma 120.00
loop_
_atom_site_label
_atom_site_fract_x
_atom_site_fract_y
_atom_site_fract_z
Y1 0.0000 0.0000 0.0000
Mg1 0.0000 0.0000 0.5000
Al1 0.3333 0.6667 0.7109
Au1 0.3333 0.6667 0.2794
```

## Properties
The density is 7.86 g cm⁻³. The value obtained for the magnetization is 0.00 μB/atom. For the total DFT energy (no corrections), the calculation gives -4.3256 eV per atom.

***

The following is a PBE-GGA calculation of a relaxed Y2MgAl4Au3 crystal, from Alexandria via LeMat-Bulk.

Geometry as CIF:
```
data_Y2MgAl4Au3
_symmetry_space_group_name_H-M 'P -4 m 2'
_symmetry_Int_Tables_number 115
_cell_length_a 4.220
_cell_length_b 4.220
_cell_length_c 11.321
_cell_angle_alpha 90.00
_cell_angle_beta 90.00
_cell_angle_gamma 90.00
loop_
_symmetry_equiv_pos_as_xyz
'x,y,z'
'y,-x,-z'
'-x,-y,z'
'-y,x,-z'
'-x,y,z'
'-y,-x,-z'
'x,-y,z'
'y,x,-z'
loop_
_atom_site_label
_atom_site_fract_x
_atom_site_fract_y
_atom_site_fract_z
Y1 0.000 0.500 0.243
Mg1 0.000 0.000 0.500
Al1 0.000 0.000 0.000
Al2 0.000 0.500 0.648
Al3 0.500 0.500 0.000
Au1 0.000 0.500 0.867
Au2 0.500 0.500 0.500
```

## Properties
The density is 7.42 g cm⁻³. The value obtained for the magnetization is 0.00 μB/atom. For the total DFT energy (no corrections), the calculation gives -4.5616 eV per atom.

***

The following is a PBE-GGA calculation of a relaxed YMgAl2Au5 crystal, from Alexandria via LeMat-Bulk.

Geometry as CIF:
```
data_YMgAl2Au5
_symmetry_space_group_name_H-M 'P 4/m m m'
_symmetry_Int_Tables_number 123
_symmetry_space_group_name_Hall '-P 4 2'
_cell_length_a 4.725
_cell_length_b 4.725
_cell_length_c 8.170
_cell_angle_alpha 90.00
_cell_angle_beta 90.00
_cell_angle_gamma 90.00
loop_
_atom_site_label
_atom_site_fract_x
_atom_site_fract_y
_atom_site_fract_z
Y1 0.000 0.000 0.000
Mg1 0.000 0.000 0.500
Al1 0.500 0.500 0.345
Au1 0.000 0.500 0.234
Au2 0.500 0.500 0.000
```

## Properties
The density is 10.49 g cm⁻³. The value obtained for the magnetization is 0.00 μB/atom. For the total DFT energy (no corrections), the calculation gives -3.9893 eV per atom.

***

The following is a PBE-GGA calculation of a relaxed Y2MgAl3Au4 crystal, from Alexandria via LeMat-Bulk.

Geometry as CIF:
```
data_Y2MgAl3Au4
_symmetry_space_group_name_H-M 'P -4 m 2'
_symmetry_Int_Tables_number 115
_cell_length_a 4.362
_cell_length_b 4.362
_cell_length_c 10.726
_cell_angle_alpha 90.00
_cell_angle_beta 90.00
_cell_angle_gamma 90.00
loop_
_symmetry_equiv_pos_as_xyz
'x,y,z'
'y,-x,-z'
'-x,-y,z'
'-y,x,-z'
'-x,y,z'
'-y,-x,-z'
'x,-y,z'
'y,x,-z'
loop_
_atom_site_label
_atom_site_fract_x
_atom_site_fract_y
_atom_site_fract_z
Y1 0.000 0.500 0.241
Mg1 0.000 0.000 0.500
Al1 0.000 0.500 0.871
Al2 0.500 0.500 0.500
Au1 0.000 0.000 0.000
Au2 0.000 0.500 0.641
Au3 0.500 0.500 0.000
```

## Properties
The density is 8.71 g cm⁻³. The value obtained for the magnetization is 0.00 μB/atom. For the total DFT energy (no corrections), the calculation gives -4.5649 eV per atom.

***

The following is a PBE-GGA calculation of a relaxed Mg2AlZn2Au5 crystal, from Alexandria via LeMat-Bulk.

Geometry as CIF:
```
data_Mg2AlZn2Au5
_symmetry_space_group_name_H-M 'P 4/m b m'
_symmetry_Int_Tables_number 127
_symmetry_space_group_name_Hall '-P 4 2ab'
_cell_length_a 10.621
_cell_length_b 10.621
_cell_length_c 3.229
_cell_angle_alpha 90.00
_cell_angle_beta 90.00
_cell_angle_gamma 90.00
loop_
_atom_site_label
_atom_site_fract_x
_atom_site_fract_y
_atom_site_fract_z
Mg1 0.155 0.345 0.000
Al1 0.000 0.000 0.000
Zn1 0.138 0.638 0.000
Au1 0.000 0.500 0.500
Au2 0.124 0.840 0.500
```

## Properties
The density is 10.86 g cm⁻³. The value obtained for the magnetization is 0.00 μB/atom. For the total DFT energy (no corrections), the calculation gives -2.9335 eV per atom.